(1)
DFT (PBE) results for a geometry-optimized SrAcGaIr structure.

extended XYZ file:
```
8
Lattice="4.153 0.000 0.000 0.000 4.466 0.000 0.000 0.000 12.366" Properties=species:S:1:pos:R:3 pbc="T T T"
Sr 0.000 0.000 0.000
Sr 0.000 2.233 6.183
Ac 2.077 0.000 3.481
Ac 2.077 2.233 9.665
Ga 2.077 0.000 7.309
Ga 2.077 2.233 1.126
Ir 0.000 0.000 8.883
Ir 0.000 2.233 2.700
```

Summary:
total moment: 0.00 μB per formula unit
energy of formation: -0.51 eV/atom
energy above the most stable polymorph in this dataset: 0.0 meV/atom

(2)
DFT (PBE) results for a geometry-optimized SrAcGaIr structure.

extended XYZ file:
```
16
Lattice="7.526 0.000 0.000 0.000 7.526 0.000 0.000 0.000 7.526" Properties=species:S:1:pos:R:3 pbc="T T T"
Sr 0.000 0.000 0.000
Sr 0.000 3.763 3.763
Sr 3.763 0.000 3.763
Sr 3.763 3.763 0.000
Ac 0.000 0.000 3.763
Ac 0.000 3.763 0.000
Ac 3.763 0.000 0.000
Ac 3.763 3.763 3.763
Ga 1.881 1.881 5.644
Ga 1.881 5.644 1.881
Ga 5.644 1.881 1.881
Ga 5.644 5.644 5.644
Ir 1.881 1.881 1.881
Ir 1.881 5.644 5.644
Ir 5.644 1.881 5.644
Ir 5.644 5.644 1.881
```

Summary:
total moment: 0.00 μB per formula unit
energy of formation: -0.28 eV/atom
energy above the most stable polymorph in this dataset: 228.9 meV/atom

(3)
DFT (PBE) results for a geometry-optimized AcTbGa2Ir2 structure.

extended XYZ file:
```
6
Lattice="4.429 0.000 0.000 -2.215 3.836 0.000 0.000 0.000 7.766" Properties=species:S:1:pos:R:3 pbc="T T T"
Ac 0.000 0.000 0.000
Tb 0.000 0.000 3.883
Ga 0.000 2.557 2.225
Ga 2.215 1.279 5.541
Ir 0.000 2.557 5.578
Ir 2.215 1.279 2.188
```

Summary:
total moment: 0.00 μB per formula unit
energy of formation: -0.76 eV/atom

(4)
DFT (PBE) results for a geometry-optimized AcTbGaIr structure.

extended XYZ file:
```
16
Lattice="7.356 0.000 0.000 0.000 7.356 0.000 0.000 0.000 7.356" Properties=species:S:1:pos:R:3 pbc="T T T"
Ac 0.000 0.000 0.000
Ac 0.000 3.678 3.678
Ac 3.678 0.000 3.678
Ac 3.678 3.678 0.000
Tb 0.000 0.000 3.678
Tb 0.000 3.678 0.000
Tb 3.678 0.000 0.000
Tb 3.678 3.678 3.678
Ga 1.839 1.839 1.839
Ga 1.839 5.517 5.517
Ga 5.517 1.839 5.517
Ga 5.517 5.517 1.839
Ir 1.839 1.839 5.517
Ir 1.839 5.517 1.839
Ir 5.517 1.839 1.839
Ir 5.517 5.517 5.517
```

Summary:
total moment: 0.00 μB per formula unit
energy of formation: -0.45 eV/atom

(5)
DFT (PBE) results for a geometry-optimized Ac2TbGa3Ir4 structure.

extended XYZ file:
```
10
Lattice="4.357 0.000 0.000 0.000 4.357 0.000 0.000 0.000 11.245" Properties=species:S:1:pos:R:3 pbc="T T T"
Ac 0.000 2.179 2.549
Ac 2.179 0.000 8.696
Tb 0.000 0.000 5.623
Ga 0.000 2.179 9.968
Ga 2.179 0.000 1.278
Ga 2.179 2.179 5.623
Ir 0.000 0.000 0.000
Ir 0.000 2.179 7.368
Ir 2.179 0.000 3.877
Ir 2.179 2.179 0.000
```

Summary:
total moment: 0.00 μB per formula unit
energy of formation: -0.71 eV/atom

(6)
DFT (PBE) results for a geometry-optimized AcThGaIr structure.

extended XYZ file:
```
16
Lattice="7.438 0.000 0.000 0.000 7.438 0.000 0.000 0.000 7.438" Properties=species:S:1:pos:R:3 pbc="T T T"
Ac 0.000 0.000 0.000
Ac 0.000 3.719 3.719
Ac 3.719 0.000 3.719
Ac 3.719 3.719 0.000
Th 0.000 0.000 3.719
Th 0.000 3.719 0.000
Th 3.719 0.000 0.000
Th 3.719 3.719 3.719
Ga 1.860 1.860 5.579
Ga 1.860 5.579 1.860
Ga 5.579 1.860 1.860
Ga 5.579 5.579 5.579
Ir 1.860 1.860 1.860
Ir 1.860 5.579 5.579
Ir 5.579 1.860 5.579
Ir 5.579 5.579 1.860
```

Summary:
total moment: 0.00 μB per formula unit
energy of formation: -0.40 eV/atom

Question: total moment of number 4 (AcTbGaIr)?
Answer: 0.00 μB per formula unit

Repeat the fifth record exactly.
DFT (PBE) results for a geometry-optimized Ac2TbGa3Ir4 structure.

extended XYZ file:
```
10
Lattice="4.357 0.000 0.000 0.000 4.357 0.000 0.000 0.000 11.245" Properties=species:S:1:pos:R:3 pbc="T T T"
Ac 0.000 2.179 2.549
Ac 2.179 0.000 8.696
Tb 0.000 0.000 5.623
Ga 0.000 2.179 9.968
Ga 2.179 0.000 1.278
Ga 2.179 2.179 5.623
Ir 0.000 0.000 0.000
Ir 0.000 2.179 7.368
Ir 2.179 0.000 3.877
Ir 2.179 2.179 0.000
```

Summary:
total moment: 0.00 μB per formula unit
energy of formation: -0.71 eV/atom

Question: The highest energy of formation belongs to which entry?
Answer: number 2

Repeat the third record exactly.
DFT (PBE) results for a geometry-optimized AcTbGa2Ir2 structure.

extended XYZ file:
```
6
Lattice="4.429 0.000 0.000 -2.215 3.836 0.000 0.000 0.000 7.766" Properties=species:S:1:pos:R:3 pbc="T T T"
Ac 0.000 0.000 0.000
Tb 0.000 0.000 3.883
Ga 0.000 2.557 2.225
Ga 2.215 1.279 5.541
Ir 0.000 2.557 5.578
Ir 2.215 1.279 2.188
```

Summary:
total moment: 0.00 μB per formula unit
energy of formation: -0.76 eV/atom